Record 1
SrBeMo at its PBEsol-relaxed geometry, computed with meta-GGA SCAN.

The value obtained for the calculated volume is 21.05 Å³ per atom. The formation energy comes out at 2.9 eV/f.u. The total moment comes out at 0.0 μB/f.u. Its space-group type is No. 156.

Cell and atoms, written as CIF:
```
data_SrBeMo
_cell_length_a 3.7018
_cell_length_b 3.7018
_cell_length_c 5.3209
_cell_angle_alpha 90.00
_cell_angle_beta 90.00
_cell_angle_gamma 120.00
_space_group_name_H-M_alt 'P 1'
_space_group_IT_number 1
loop_
_space_group_symop_operation_xyz
'x,y,z'
loop_
_atom_site_label
_atom_site_type_symbol
_atom_site_fract_x
_atom_site_fract_y
_atom_site_fract_z
_atom_site_occupancy
Be1 Be 0.0000 0.0000 0.9104 1
Mo1 Mo 0.6667 0.3333 0.7774 1
Sr1 Sr 0.3333 0.6667 0.3122 1
```

Record 2
SrBeMo at its PBEsol-relaxed geometry, computed with meta-GGA SCAN.

The value obtained for the calculated volume is 21.96 Å³ per atom. The formation energy comes out at 3.8 eV/f.u. The total moment comes out at 2.9 μB/f.u. Its space-group type is No. 216.

Cell and atoms, written as CIF:
```
data_SrBeMo
_cell_length_a 4.5332
_cell_length_b 4.5332
_cell_length_c 4.5332
_cell_angle_alpha 60.00
_cell_angle_beta 60.00
_cell_angle_gamma 60.00
_space_group_name_H-M_alt 'P 1'
_space_group_IT_number 1
loop_
_space_group_symop_operation_xyz
'x,y,z'
loop_
_atom_site_label
_atom_site_type_symbol
_atom_site_fract_x
_atom_site_fract_y
_atom_site_fract_z
_atom_site_occupancy
Mo1 Mo 0.0000 0.0000 0.0000 1
Be1 Be 0.7500 0.7500 0.7500 1
Sr1 Sr 0.5000 0.5000 0.5000 1
```

Record 3
TaBe2Mo at its PBEsol-relaxed geometry, computed with meta-GGA SCAN.

The value obtained for the calculated volume is 12.49 Å³ per atom. The formation energy comes out at -0.1 eV/f.u. The total moment comes out at 0.0 μB/f.u. Its space-group type is No. 139.

Cell and atoms, written as CIF:
```
data_TaBe2Mo
_cell_length_a 3.7911
_cell_length_b 4.3903
_cell_length_c 3.7911
_cell_angle_alpha 64.42
_cell_angle_beta 90.00
_cell_angle_gamma 115.58
_space_group_name_H-M_alt 'P 1'
_space_group_IT_number 1
loop_
_space_group_symop_operation_xyz
'x,y,z'
loop_
_atom_site_label
_atom_site_type_symbol
_atom_site_fract_x
_atom_site_fract_y
_atom_site_fract_z
_atom_site_occupancy
Ta1 Ta 0.0000 0.0000 0.0000 1
Be1 Be 0.7500 0.5000 0.7500 1
Be2 Be 0.2500 0.5000 0.2500 1
Mo1 Mo 0.5000 0.0000 0.5000 1
```

Record 4
TaBe2Mo2 at its PBEsol-relaxed geometry, computed with meta-GGA SCAN.

The value obtained for the calculated volume is 12.67 Å³ per atom. The formation energy comes out at -1.3 eV/f.u. The total moment comes out at 0.0 μB/f.u. Its space-group type is No. 127.

Cell and atoms, written as CIF:
```
data_TaBe2Mo2
_cell_length_a 3.2217
_cell_length_b 6.2716
_cell_length_c 6.2716
_cell_angle_alpha 90.00
_cell_angle_beta 90.00
_cell_angle_gamma 90.00
_space_group_name_H-M_alt 'P 1'
_space_group_IT_number 1
loop_
_space_group_symop_operation_xyz
'x,y,z'
loop_
_atom_site_label
_atom_site_type_symbol
_atom_site_fract_x
_atom_site_fract_y
_atom_site_fract_z
_atom_site_occupancy
Mo1 Mo 0.5000 0.6771 0.8229 1
Mo2 Mo 0.5000 0.8229 0.3229 1
Ta1 Ta 0.0000 0.0000 0.0000 1
Be1 Be 0.0000 0.3850 0.8850 1
Mo3 Mo 0.5000 0.3229 0.1771 1
Ta2 Ta 0.0000 0.5000 0.5000 1
Mo4 Mo 0.5000 0.1771 0.6771 1
Be2 Be 0.0000 0.8850 0.6150 1
Be3 Be 0.0000 0.6150 0.1150 1
Be4 Be 0.0000 0.1150 0.3850 1
```

Record 5
Ta2BeMo at its PBEsol-relaxed geometry, computed with meta-GGA SCAN.

The value obtained for the calculated volume is 14.89 Å³ per atom. The formation energy comes out at 0.2 eV/f.u. The total moment comes out at 0.0 μB/f.u. Its space-group type is No. 65.

Cell and atoms, written as CIF:
```
data_Ta2BeMo
_cell_length_a 2.7310
_cell_length_b 2.7310
_cell_length_c 8.2354
_cell_angle_alpha 90.00
_cell_angle_beta 90.00
_cell_angle_gamma 104.15
_space_group_name_H-M_alt 'P 1'
_space_group_IT_number 1
loop_
_space_group_symop_operation_xyz
'x,y,z'
loop_
_atom_site_label
_atom_site_type_symbol
_atom_site_fract_x
_atom_site_fract_y
_atom_site_fract_z
_atom_site_occupancy
Be1 Be 0.5000 0.5000 0.5000 1
Ta1 Ta 0.0000 0.0000 0.2774 1
Ta2 Ta 0.0000 0.0000 0.7226 1
Mo1 Mo 0.5000 0.5000 0.0000 1
```

Record 6
TaBeMo2 at its PBEsol-relaxed geometry, computed with meta-GGA SCAN.

The value obtained for the calculated volume is 14.45 Å³ per atom. The formation energy comes out at 0.4 eV/f.u. The total moment comes out at 0.0 μB/f.u. Its space-group type is No. 123.

Cell and atoms, written as CIF:
```
data_TaBeMo2
_cell_length_a 3.3900
_cell_length_b 4.1299
_cell_length_c 4.1299
_cell_angle_alpha 90.00
_cell_angle_beta 90.00
_cell_angle_gamma 90.00
_space_group_name_H-M_alt 'P 1'
_space_group_IT_number 1
loop_
_space_group_symop_operation_xyz
'x,y,z'
loop_
_atom_site_label
_atom_site_type_symbol
_atom_site_fract_x
_atom_site_fract_y
_atom_site_fract_z
_atom_site_occupancy
Mo1 Mo 0.0000 0.5000 0.0000 1
Be1 Be 0.5000 0.0000 0.0000 1
Mo2 Mo 0.0000 0.0000 0.5000 1
Ta1 Ta 0.5000 0.5000 0.5000 1
```

Record 7
TaBeMo2 at its PBEsol-relaxed geometry, computed with meta-GGA SCAN.

The value obtained for the calculated volume is 14.43 Å³ per atom. The formation energy comes out at 0.2 eV/f.u. The total moment comes out at 0.0 μB/f.u. Its space-group type is No. 47.

Cell and atoms, written as CIF:
```
data_TaBeMo2
_cell_length_a 3.5108
_cell_length_b 3.9035
_cell_length_c 4.2105
_cell_angle_alpha 90.00
_cell_angle_beta 90.00
_cell_angle_gamma 90.00
_space_group_name_H-M_alt 'P 1'
_space_group_IT_number 1
loop_
_space_group_symop_operation_xyz
'x,y,z'
loop_
_atom_site_label
_atom_site_type_symbol
_atom_site_fract_x
_atom_site_fract_y
_atom_site_fract_z
_atom_site_occupancy
Ta1 Ta 0.5000 0.0000 0.5000 1
Mo1 Mo 0.0000 0.0000 0.0000 1
Mo2 Mo 0.5000 0.5000 0.0000 1
Be1 Be 0.0000 0.5000 0.5000 1
```

Record 8
Ta2Be2Mo at its PBEsol-relaxed geometry, computed with meta-GGA SCAN.

The value obtained for the calculated volume is 13.21 Å³ per atom. The formation energy comes out at -1.1 eV/f.u. The total moment comes out at 0.0 μB/f.u. Its space-group type is No. 127.

Cell and atoms, written as CIF:
```
data_Ta2Be2Mo
_cell_length_a 3.2924
_cell_length_b 6.3347
_cell_length_c 6.3347
_cell_angle_alpha 90.00
_cell_angle_beta 90.00
_cell_angle_gamma 90.00
_space_group_name_H-M_alt 'P 1'
_space_group_IT_number 1
loop_
_space_group_symop_operation_xyz
'x,y,z'
loop_
_atom_site_label
_atom_site_type_symbol
_atom_site_fract_x
_atom_site_fract_y
_atom_site_fract_z
_atom_site_occupancy
Be1 Be 0.0000 0.6156 0.1156 1
Mo1 Mo 0.0000 0.5000 0.5000 1
Ta1 Ta 0.5000 0.3198 0.1802 1
Be2 Be 0.0000 0.1156 0.3844 1
Be3 Be 0.0000 0.3844 0.8844 1
Ta2 Ta 0.5000 0.6802 0.8198 1
Mo2 Mo 0.0000 0.0000 0.0000 1
Ta3 Ta 0.5000 0.8198 0.3198 1
Be4 Be 0.0000 0.8844 0.6156 1
Ta4 Ta 0.5000 0.1802 0.6802 1
```

Record 9
Ta2BeMo at its PBEsol-relaxed geometry, computed with meta-GGA SCAN.

The value obtained for the calculated volume is 15.35 Å³ per atom. The formation energy comes out at 0.5 eV/f.u. The total moment comes out at 0.0 μB/f.u. Its space-group type is No. 12.

Cell and atoms, written as CIF:
```
data_Ta2BeMo
_cell_length_a 2.7021
_cell_length_b 5.1555
_cell_length_c 5.1555
_cell_angle_alpha 115.50
_cell_angle_beta 99.83
_cell_angle_gamma 99.83
_space_group_name_H-M_alt 'P 1'
_space_group_IT_number 1
loop_
_space_group_symop_operation_xyz
'x,y,z'
loop_
_atom_site_label
_atom_site_type_symbol
_atom_site_fract_x
_atom_site_fract_y
_atom_site_fract_z
_atom_site_occupancy
Mo1 Mo 0.5000 0.5000 0.5000 1
Be1 Be 0.5000 0.0000 0.0000 1
Ta1 Ta 0.0000 0.5000 0.0000 1
Ta2 Ta 0.0000 0.0000 0.5000 1
```

Record 10
Ta2BeMo at its PBEsol-relaxed geometry, computed with meta-GGA SCAN.

The value obtained for the calculated volume is 14.87 Å³ per atom. The formation energy comes out at 0.2 eV/f.u. The total moment comes out at 0.0 μB/f.u. Its space-group type is No. 35.

Cell and atoms, written as CIF:
```
data_Ta2BeMo
_cell_length_a 2.7365
_cell_length_b 2.7365
_cell_length_c 8.1748
_cell_angle_alpha 90.00
_cell_angle_beta 90.00
_cell_angle_gamma 103.67
_space_group_name_H-M_alt 'P 1'
_space_group_IT_number 1
loop_
_space_group_symop_operation_xyz
'x,y,z'
loop_
_atom_site_label
_atom_site_type_symbol
_atom_site_fract_x
_atom_site_fract_y
_atom_site_fract_z
_atom_site_occupancy
Ta1 Ta 0.5000 0.5000 0.7167 1
Ta2 Ta 0.0000 0.0000 0.0068 1
Mo1 Mo 0.5000 0.5000 0.2848 1
Be1 Be 0.0000 0.0000 0.4918 1
```

Record 11
TaBeMo at its PBEsol-relaxed geometry, computed with meta-GGA SCAN.

The value obtained for the calculated volume is 14.66 Å³ per atom. The formation energy comes out at 1.1 eV/f.u. The total moment comes out at 0.0 μB/f.u. Its space-group type is No. 156.

Cell and atoms, written as CIF:
```
data_TaBeMo
_cell_length_a 2.7769
_cell_length_b 2.7769
_cell_length_c 6.5837
_cell_angle_alpha 90.00
_cell_angle_beta 90.00
_cell_angle_gamma 120.00
_space_group_name_H-M_alt 'P 1'
_space_group_IT_number 1
loop_
_space_group_symop_operation_xyz
'x,y,z'
loop_
_atom_site_label
_atom_site_type_symbol
_atom_site_fract_x
_atom_site_fract_y
_atom_site_fract_z
_atom_site_occupancy
Ta1 Ta 0.6667 0.3333 0.3159 1
Be1 Be 0.0000 0.0000 0.9933 1
Mo1 Mo 0.3333 0.6667 0.6908 1
```

Record 12
TaBeMo2 at its PBEsol-relaxed geometry, computed with meta-GGA SCAN.

The value obtained for the calculated volume is 14.60 Å³ per atom. The formation energy comes out at 0.7 eV/f.u. The total moment comes out at 0.0 μB/f.u. Its space-group type is No. 139.

Cell and atoms, written as CIF:
```
data_TaBeMo2
_cell_length_a 3.6801
_cell_length_b 3.6801
_cell_length_c 5.0374
_cell_angle_alpha 111.42
_cell_angle_beta 111.42
_cell_angle_gamma 90.00
_space_group_name_H-M_alt 'P 1'
_space_group_IT_number 1
loop_
_space_group_symop_operation_xyz
'x,y,z'
loop_
_atom_site_label
_atom_site_type_symbol
_atom_site_fract_x
_atom_site_fract_y
_atom_site_fract_z
_atom_site_occupancy
Ta1 Ta 0.5000 0.5000 0.0000 1
Be1 Be 0.0000 0.0000 0.0000 1
Mo1 Mo 0.2500 0.7500 0.5000 1
Mo2 Mo 0.7500 0.2500 0.5000 1
```

Record 13
TaBeMo2 at its PBEsol-relaxed geometry, computed with meta-GGA SCAN.

The value obtained for the calculated volume is 14.69 Å³ per atom. The formation energy comes out at 0.5 eV/f.u. The total moment comes out at 0.0 μB/f.u. Its space-group type is No. 10.

Cell and atoms, written as CIF:
```
data_TaBeMo2
_cell_length_a 2.6618
_cell_length_b 4.3727
_cell_length_c 5.1129
_cell_angle_alpha 90.00
_cell_angle_beta 99.08
_cell_angle_gamma 90.00
_space_group_name_H-M_alt 'P 1'
_space_group_IT_number 1
loop_
_space_group_symop_operation_xyz
'x,y,z'
loop_
_atom_site_label
_atom_site_type_symbol
_atom_site_fract_x
_atom_site_fract_y
_atom_site_fract_z
_atom_site_occupancy
Mo1 Mo 0.7618 0.0000 0.7434 1
Ta1 Ta 0.5000 0.5000 0.0000 1
Be1 Be 0.0000 0.5000 0.5000 1
Mo2 Mo 0.2382 0.0000 0.2566 1
```

Record 14
TaBe2Mo at its PBEsol-relaxed geometry, computed with meta-GGA SCAN.

The value obtained for the calculated volume is 12.04 Å³ per atom. The formation energy comes out at -0.8 eV/f.u. The total moment comes out at 0.0 μB/f.u. Its space-group type is No. 38.

Cell and atoms, written as CIF:
```
data_TaBe2Mo
_cell_length_a 3.2476
_cell_length_b 3.3189
_cell_length_c 4.7550
_cell_angle_alpha 90.00
_cell_angle_beta 109.97
_cell_angle_gamma 90.00
_space_group_name_H-M_alt 'P 1'
_space_group_IT_number 1
loop_
_space_group_symop_operation_xyz
'x,y,z'
loop_
_atom_site_label
_atom_site_type_symbol
_atom_site_fract_x
_atom_site_fract_y
_atom_site_fract_z
_atom_site_occupancy
Mo1 Mo 0.0996 0.0000 0.1992 1
Be1 Be 0.6808 0.5000 0.3615 1
Ta1 Ta 0.4045 0.5000 0.8091 1
Be2 Be 0.8137 0.0000 0.6275 1
```

Record 15
Be2TcMo at its PBEsol-relaxed geometry, computed with meta-GGA SCAN.

The value obtained for the calculated volume is 10.90 Å³ per atom. The formation energy comes out at -1.1 eV/f.u. The total moment comes out at 0.0 μB/f.u. Its space-group type is No. 38.

Cell and atoms, written as CIF:
```
data_Be2TcMo
_cell_length_a 3.1067
_cell_length_b 3.2009
_cell_length_c 4.6522
_cell_angle_alpha 90.00
_cell_angle_beta 109.51
_cell_angle_gamma 90.00
_space_group_name_H-M_alt 'P 1'
_space_group_IT_number 1
loop_
_space_group_symop_operation_xyz
'x,y,z'
loop_
_atom_site_label
_atom_site_type_symbol
_atom_site_fract_x
_atom_site_fract_y
_atom_site_fract_z
_atom_site_occupancy
Be1 Be 0.6823 0.5000 0.3647 1
Mo1 Mo 0.0946 0.0000 0.1893 1
Be2 Be 0.8184 0.0000 0.6368 1
Tc1 Tc 0.4019 0.5000 0.8038 1
```